Material: HfBi2Ir
Method: DFT, PBE-GGA
State: relaxed

Cell and atoms, written as CIF:
```
data_HfBi2Ir
_chemical_formula_sum 'Hf1 Bi2 Ir1'
_space_group_name_H-M_alt 'P 1'
_space_group_IT_number 1
_cell_length_a 5.063
_cell_length_b 5.063
_cell_length_c 5.063
_cell_angle_alpha 60.00
_cell_angle_beta 60.00
_cell_angle_gamma 60.00
loop_
_space_group_symop_operation_xyz
'x,y,z'
loop_
_atom_site_label
_atom_site_fract_x
_atom_site_fract_y
_atom_site_fract_z
Bi1 0.750 0.750 0.750
Bi2 0.000 0.000 0.000
Hf1 0.250 0.250 0.250
Ir1 0.500 0.500 0.500
```

E_tot: -25.72 eV per cell
magnetization: 0.0 μB per formula unit